(1)
A plane-wave DFT calculation with PBE was carried out for Cs2SnPb after structural relaxation.

Results
The calculation puts the energy above the most stable polymorph in this dataset at 173.7 meV per atom. As for the space-group type: I-42d. The formation energy comes out at 0.02 eV/atom.

Cell lengths 10.5575, 10.5575, 10.5575 Å; angles 94.20, 94.20, 148.58 degrees
Last column: nearest neighbours and their distance in Å.
Element x y z (fractional)
Cs 0.5430 0.8750 0.1680  2 Sn 3.85
Sn 0.5000 0.5000 0.0000  2 Pb 2.86
Cs 0.6250 0.4570 0.3320  2 Sn 3.85
Pb 0.0000 0.0000 0.0000  2 Sn 2.86
Cs 0.7070 0.3750 0.8320  2 Sn 3.85
Cs 0.1250 0.2930 0.6680  2 Sn 3.85
Sn 0.7500 0.2500 0.5000  2 Pb 2.86
Pb 0.2500 0.7500 0.5000  2 Sn 2.86

---

(2)
A plane-wave DFT calculation with PBE was carried out for Cs2Sn7Pb12 after structural relaxation.

Results
As for the space-group type: P-3. The formation energy comes out at 0.01 eV/atom.

Cell lengths 3.5490, 14.9466, 14.9467 Å; angles 120.00, 90.00, 90.00 degrees
Last column: nearest neighbours and their distance in Å.
Element x y z (fractional)
Pb 0.2339 0.0720 0.2433  4 Sn 3.31-3.39, 6 Pb 3.55-3.64
Pb 0.7395 0.0697 0.4535  4 Sn 3.22-3.57, 4 Pb 3.47-3.55
Pb 0.2339 0.1712 0.9280  4 Sn 3.31-3.39, 6 Pb 3.55-3.64
Sn 0.2660 0.8737 0.2841  7 Pb 3.22-3.57, 2 Sn 3.55
Sn 0.5000 0.0000 0.0000  6 Pb 3.37, 2 Sn 3.55
Pb 0.7395 0.5465 0.6162  4 Sn 3.22-3.57, 4 Pb 3.47-3.55
Pb 0.7661 0.9280 0.7567  4 Sn 3.31-3.39, 6 Pb 3.55-3.64
Pb 0.7395 0.3838 0.9303  4 Sn 3.22-3.57, 4 Pb 3.47-3.55
Sn 0.7340 0.5896 0.8737  7 Pb 3.22-3.57, 2 Sn 3.55
Pb 0.7661 0.2433 0.1713  4 Sn 3.31-3.39, 6 Pb 3.55-3.64
Cs 0.2333 0.3333 0.6667  2 Cs 3.55, 6 Sn 3.94
Sn 0.7340 0.2841 0.4104  7 Pb 3.22-3.57, 2 Sn 3.55
Sn 0.2660 0.7159 0.5896  7 Pb 3.22-3.57, 2 Sn 3.55
Sn 0.7340 0.1263 0.7159  7 Pb 3.22-3.57, 2 Sn 3.55
Pb 0.7661 0.8288 0.0720  4 Sn 3.31-3.39, 6 Pb 3.55-3.64
Pb 0.2605 0.4535 0.3838  4 Sn 3.22-3.57, 4 Pb 3.47-3.55
Pb 0.2339 0.7567 0.8288  4 Sn 3.31-3.39, 6 Pb 3.55-3.64
Cs 0.7667 0.6667 0.3333  2 Cs 3.55, 6 Sn 3.94
Pb 0.2605 0.9303 0.5465  4 Sn 3.22-3.57, 4 Pb 3.47-3.55
Pb 0.2605 0.6162 0.0697  4 Sn 3.22-3.57, 4 Pb 3.47-3.55
Sn 0.2660 0.4104 0.1263  7 Pb 3.22-3.57, 2 Sn 3.55

---

(3)
A plane-wave DFT calculation with PBE was carried out for Cs4SnPb4 after structural relaxation.

Results
As for the space-group type: I-42m. The formation energy comes out at 0.02 eV/atom.

Cell lengths 9.9089, 9.9089, 9.9089 Å; angles 134.21, 134.21, 66.77 degrees
Last column: nearest neighbours and their distance in Å.
Element x y z (fractional)
Pb 0.7006 0.9887 0.0000  1 Sn 3.01, 1 Pb 3.14
Cs 0.2041 0.2041 0.6379  3 Pb 3.82-3.87, 1 Cs 3.95, 1 Sn 3.96
Pb 0.2994 0.2994 0.2881  1 Sn 3.01, 1 Pb 3.14
Cs 0.5662 0.5662 0.3621  3 Pb 3.82-3.87, 1 Cs 3.95, 1 Sn 3.96
Sn 0.0000 0.0000 0.0000  4 Pb 3.01
Pb 0.0113 0.0113 0.7119  1 Sn 3.01, 1 Pb 3.14
Cs 0.7959 0.4338 0.0000  3 Pb 3.82-3.87, 1 Cs 3.95, 1 Sn 3.96
Pb 0.9887 0.7006 0.0000  1 Sn 3.01, 1 Pb 3.14
Cs 0.4338 0.7959 0.0000  3 Pb 3.82-3.87, 1 Cs 3.95, 1 Sn 3.96